{"formula": "SrInHg2", "functional": "GGA-PBEsol", "state": "relaxed", "cell": [[-2.154, 2.585, 4.759], [2.154, -2.585, 4.759], [2.154, 2.585, -4.759]], "species": ["Sr", "In", "Hg", "Hg"], "fractional_positions": [[0.000, 0.000, 0.000], [0.729, 0.229, 0.500], [0.265, 0.765, 0.500], [0.498, 0.498, 0.000]], "magmom_total_mub_per_fu": 0.00, "ef_ev_per_fu": -1.4, "volume_a3_per_cell": 106, "sg": "No. 44"}



{"formula": "Sr2InHg", "functional": "GGA-PBEsol", "state": "relaxed", "cell": [[0.000, 3.960, 3.960], [3.960, 0.000, 3.960], [3.960, 3.960, 0.000]], "species": ["Sr", "Sr", "In", "Hg"], "fractional_positions": [[0.250, 0.250, 0.250], [0.750, 0.750, 0.750], [0.000, 0.000, 0.000], [0.500, 0.500, 0.500]], "magmom_total_mub_per_fu": 0.00, "ef_ev_per_fu": -2.1, "volume_a3_per_cell": 124, "sg": "No. 225"}



{"formula": "TaInHg2", "functional": "GGA-PBEsol", "state": "relaxed", "cell": [[-2.055, 2.055, 4.738], [2.055, -2.055, 4.738], [2.055, 2.055, -4.738]], "species": ["Ta", "In", "Hg", "Hg"], "fractional_positions": [[0.000, 0.000, 0.000], [0.250, 0.750, 0.500], [0.500, 0.500, 0.000], [0.750, 0.250, 0.500]], "magmom_total_mub_per_fu": 0.00, "ef_ev_per_fu": 1.5, "volume_a3_per_cell": 80, "sg": "No. 119"}



{"formula": "Ta2InHg", "functional": "GGA-PBEsol", "state": "relaxed", "cell": [[3.596, 0.000, 0.000], [0.000, 3.596, 0.000], [0.000, 0.000, 5.788]], "species": ["Ta", "Ta", "In", "Hg"], "fractional_positions": [[0.000, 0.000, 0.245], [0.000, 0.000, 0.755], [0.500, 0.500, 0.000], [0.500, 0.500, 0.500]], "magmom_total_mub_per_fu": 0.00, "ef_ev_per_fu": 1.6, "volume_a3_per_cell": 75, "sg": "No. 123"}